Entry from Alexandria via LeMat-Bulk: a relaxed structure of LiAc4Tm3Se8 (PBE-GGA).

Cell: 8.2660 8.7120 8.2661 Å, 118.32 120.00 90.00°
Fractional positions:
Li: 0.0000 0.5000 0.0000
Ac: 0.5000 0.0000 0.0000
Ac: 0.5000 0.0000 0.5000
Ac: 0.0000 0.0000 0.0000
Ac: 0.0000 0.0000 0.5000
Tm: 0.5000 0.5000 0.0000
Tm: 0.5000 0.5000 0.5000
Tm: 0.0000 0.5000 0.5000
Se: 0.2361 0.7119 0.9758
Se: 0.2361 0.7119 0.4722
Se: 0.2618 0.2853 0.5236
Se: 0.7398 0.7119 0.9758
Se: 0.2602 0.2881 0.0242
Se: 0.7382 0.7147 0.4764
Se: 0.7639 0.2881 0.5278
Se: 0.7639 0.2881 0.0242

Computed properties:
The density comes out at 7.91 g/cm3. The value obtained for the uncorrected formation energy is -1.7465 eV/atom. The total energy comes out at -87.58 eV/cell.